DFT (PBE) results for an optimized crystal structure of TaBeTc.

a b c (Å): 3.361 4.334 11.432
angles (deg): 90.00 90.00 90.00
Sites, in units of the cell vectors:
Ta 0.000 0.000 0.000
Ta 0.000 0.500 0.500
Ta 0.500 0.000 0.500
Ta 0.500 0.500 0.000
Be 0.000 0.000 0.337
Be 0.000 0.500 0.837
Be 0.500 0.000 0.837
Be 0.500 0.500 0.337
Tc 0.000 0.000 0.695
Tc 0.000 0.500 0.195
Tc 0.500 0.000 0.195
Tc 0.500 0.500 0.695

DFT total energy   -8.62 eV/atom
ΔE to the lowest computed polymorph   35.8 kJ per mole of atoms
Formation energy from the elements   0.033 eV per atom